Record 1
## LiTa (PBE-GGA)

Data for a geometry-optimized LiTa structure.

Properties
Total magnetic moment: 0.179 μB/atom
N(E_F): 5.2 states/eV per cell
Space-group type: Fd-3m (227)
E above lowest polymorph: 0.5123 eV per atom
Formation enthalpy at 0 K: 728 meV/atom

a b c (Å): 4.581 4.581 4.581
angles (deg): 60.00 60.00 60.00
Each line ends with the local moment (μB).
Atoms (fractional coordinates):
1 Ta 0.500 0.500 0.500  0.25
2 Ta 0.750 0.750 0.750  0.25
3 Li 0.250 0.250 0.250  0.00
4 Li 0.000 0.000 0.000  0.00



Record 2
## LiTa (PBE-GGA)

Data for a geometry-optimized LiTa structure.

Properties
Total magnetic moment: 0.000 μB/atom
N(E_F): 13.5 states/eV per cell
Space-group type: P4_32_12 (96)
E above lowest polymorph: 0.2455 eV per atom
Formation enthalpy at 0 K: 461 meV/atom

a b c (Å): 5.504 5.504 8.788
angles (deg): 90.00 90.00 90.00
Atoms (fractional coordinates):
1 Ta 0.470 0.262 0.631
2 Ta 0.030 0.762 0.119
3 Ta 0.738 0.530 0.869
4 Ta 0.238 0.970 0.381
5 Ta 0.970 0.238 0.619
6 Ta 0.762 0.030 0.881
7 Ta 0.530 0.738 0.131
8 Ta 0.262 0.470 0.369
9 Li 0.723 0.096 0.354
10 Li 0.223 0.404 0.896
11 Li 0.277 0.904 0.854
12 Li 0.596 0.777 0.604
13 Li 0.096 0.723 0.646
14 Li 0.404 0.223 0.104
15 Li 0.777 0.596 0.396
16 Li 0.904 0.277 0.146



Record 3
## Li3Ta5 (PBE-GGA)

Data for a geometry-optimized Li3Ta5 structure.

Properties
Total magnetic moment: 0.000 μB/atom
N(E_F): 19.3 states/eV per cell
Space-group type: P6_3/mcm (193)
Formation enthalpy at 0 K: 592 meV/atom

a b c (Å): 7.609 7.609 5.121
angles (deg): 90.00 90.00 120.00
Atoms (fractional coordinates):
1 Li 0.597 0.597 0.750
2 Li 0.000 0.403 0.750
3 Li 0.403 0.403 0.250
4 Li 0.597 0.000 0.250
5 Li 0.000 0.597 0.250
6 Li 0.403 0.000 0.750
7 Ta 0.223 0.000 0.250
8 Ta 0.333 0.667 0.000
9 Ta 0.223 0.223 0.750
10 Ta 0.667 0.333 0.500
11 Ta 0.333 0.667 0.500
12 Ta 0.000 0.223 0.250
13 Ta 0.667 0.333 0.000
14 Ta 0.777 0.777 0.250
15 Ta 0.777 0.000 0.750
16 Ta 0.000 0.777 0.750



Record 4
## LiTa (PBE-GGA)

Data for a geometry-optimized LiTa structure.

Properties
Total magnetic moment: 0.000 μB/atom
N(E_F): 24.2 states/eV per cell
Space-group type: I-43m (217)
E above lowest polymorph: 1.4199 eV per atom
Formation enthalpy at 0 K: 1636 meV/atom

a b c (Å): 8.903 8.903 8.903
angles (deg): 90.00 90.00 90.00
Atoms (fractional coordinates):
1 Li 0.802 0.198 0.802
2 Li 0.302 0.698 0.302
3 Li 0.302 0.302 0.698
4 Li 0.698 0.302 0.302
5 Li 0.802 0.802 0.198
6 Li 0.698 0.698 0.698
7 Li 0.198 0.802 0.802
8 Li 0.198 0.198 0.198
9 Ta 0.398 0.602 0.602
10 Ta 0.898 0.898 0.898
11 Ta 0.102 0.102 0.898
12 Ta 0.102 0.898 0.102
13 Ta 0.398 0.398 0.398
14 Ta 0.602 0.602 0.398
15 Ta 0.898 0.102 0.102
16 Ta 0.602 0.398 0.602



Record 5
## Li5Ta (PBE-GGA)

Data for a geometry-optimized Li5Ta structure.

Properties
Total magnetic moment: 0.000 μB/atom
N(E_F): 4.3 states/eV per cell
Space-group type: P4/mmm (123)
E above lowest polymorph: 0.0000 eV per atom
Formation enthalpy at 0 K: 216 meV/atom

a b c (Å): 2.745 2.745 14.350
angles (deg): 90.00 90.00 90.00
Atoms (fractional coordinates):
1 Li 0.500 0.500 0.666
2 Li 0.000 0.000 0.835
3 Li 0.000 0.000 0.165
4 Li 0.500 0.500 0.334
5 Li 0.000 0.000 0.500
6 Ta 0.500 0.500 0.000



Record 6
## LiTa (PBE-GGA)

Data for a geometry-optimized LiTa structure.

Properties
Total magnetic moment: 0.000 μB/atom
N(E_F): 3.4 states/eV per cell
Space-group type: P6_3/mmc (194)
E above lowest polymorph: 0.6872 eV per atom
Formation enthalpy at 0 K: 903 meV/atom

a b c (Å): 4.598 4.598 7.421
angles (deg): 90.00 90.00 120.00
Atoms (fractional coordinates):
1 Ta 0.000 0.000 0.750
2 Ta 0.333 0.667 0.750
3 Ta 0.000 0.000 0.250
4 Ta 0.667 0.333 0.250
5 Li 0.333 0.667 0.404
6 Li 0.667 0.333 0.596
7 Li 0.333 0.667 0.096
8 Li 0.667 0.333 0.904